(1)
# MgGeAu, relaxed, DFT GGA-PBE
data_MgGeAu
_chemical_formula_sum 'Mg1 Ge1 Au1'
_cell_length_a 4.4378
_cell_length_b 4.4378
_cell_length_c 3.3507
_cell_angle_alpha 90.00
_cell_angle_beta 90.00
_cell_angle_gamma 120.00
_symmetry_space_group_name_H-M 'P -6 m 2'
_symmetry_Int_Tables_number 187
_symmetry_space_group_name_Hall 'P -6 2'
loop_
_atom_site_label
_atom_site_type_symbol
_atom_site_fract_x
_atom_site_fract_y
_atom_site_fract_z
Mg1 Mg 0.0000 0.0000 0.0000
Ge1 Ge 0.3333 0.6667 0.5000
Au1 Au 0.6667 0.3333 0.5000
# * density of states at the Fermi level: 0.255 states/eV/atom
# * spin magnetization: 0.00 μB/f.u.
# * total DFT energy (no corrections): -3.407 eV/atom
# * density: 8.540 Mg/m³
# * formation energy from the elements: -244.2 meV per atom


(2)
# Mg8GeAu2, relaxed, DFT GGA-PBE
data_Mg8GeAu2
_chemical_formula_sum 'Mg16 Ge2 Au4'
_cell_length_a 4.6944
_cell_length_b 6.6438
_cell_length_c 14.0671
_cell_angle_alpha 90.00
_cell_angle_beta 90.00
_cell_angle_gamma 90.00
_symmetry_space_group_name_H-M 'I m m m'
_symmetry_Int_Tables_number 71
_symmetry_space_group_name_Hall '-I 2 2'
loop_
_atom_site_label
_atom_site_type_symbol
_atom_site_fract_x
_atom_site_fract_y
_atom_site_fract_z
Mg1 Mg 0.0000 0.0000 0.1708
Mg2 Mg 0.0000 0.2319 0.3459
Mg3 Mg 0.0000 0.2800 0.0000
Ge1 Ge 0.0000 0.5000 0.5000
Au1 Au 0.0000 0.5000 0.1803
# * density of states at the Fermi level: 0.271 states/eV/atom
# * spin magnetization: 0.00 μB/f.u.
# * total DFT energy (no corrections): -2.487 eV/atom
# * density: 5.004 Mg/m³
# * formation energy from the elements: -311.2 meV per atom


(3)
# MgGe2Au8, relaxed, DFT GGA-PBE
data_MgGe2Au8
_chemical_formula_sum 'Mg2 Ge4 Au16'
_cell_length_a 15.6215
_cell_length_b 4.0090
_cell_length_c 6.6413
_cell_angle_alpha 90.00
_cell_angle_beta 105.56
_cell_angle_gamma 90.00
_symmetry_space_group_name_H-M 'C 1 2/m 1'
_symmetry_Int_Tables_number 12
_symmetry_space_group_name_Hall '-C 2y'
loop_
_atom_site_label
_atom_site_type_symbol
_atom_site_fract_x
_atom_site_fract_y
_atom_site_fract_z
Mg1 Mg 0.0000 0.0000 0.0000
Ge1 Ge 0.2140 0.5000 0.6400
Au1 Au 0.0411 0.5000 0.7297
Au2 Au 0.0929 0.0000 0.4446
Au3 Au 0.1344 0.5000 0.1744
Au4 Au 0.1811 0.0000 0.9056
# * density of states at the Fermi level: 0.324 states/eV/atom
# * spin magnetization: 0.00 μB/f.u.
# * total DFT energy (no corrections): -3.473 eV/atom
# * density: 14.467 Mg/m³
# * formation energy from the elements: -105.2 meV per atom


(4)
# MgGeAu, relaxed, DFT GGA-PBE
data_MgGeAu
_chemical_formula_sum 'Mg2 Ge2 Au2'
_cell_length_a 3.7124
_cell_length_b 3.7124
_cell_length_c 8.2083
_cell_angle_alpha 90.00
_cell_angle_beta 90.00
_cell_angle_gamma 90.00
_symmetry_space_group_name_H-M 'I 4 m m'
_symmetry_Int_Tables_number 107
_symmetry_space_group_name_Hall 'I 4 -2'
loop_
_atom_site_label
_atom_site_type_symbol
_atom_site_fract_x
_atom_site_fract_y
_atom_site_fract_z
Mg1 Mg 0.0000 0.0000 0.0000
Ge1 Ge 0.0000 0.0000 0.3288
Au1 Au 0.0000 0.0000 0.6607
# * density of states at the Fermi level: 0.308 states/eV/atom
# * spin magnetization: 0.00 μB/f.u.
# * total DFT energy (no corrections): -3.359 eV/atom
# * density: 8.628 Mg/m³
# * formation energy from the elements: -195.8 meV per atom


(5)
# MgGe2Au, relaxed, DFT GGA-PBE
data_MgGe2Au
_chemical_formula_sum 'Mg4 Ge8 Au4'
_cell_length_a 7.7153
_cell_length_b 7.7153
_cell_length_c 5.4939
_cell_angle_alpha 90.00
_cell_angle_beta 90.00
_cell_angle_gamma 90.00
_symmetry_space_group_name_H-M 'I -4 2 d'
_symmetry_Int_Tables_number 122
_symmetry_space_group_name_Hall 'I -4 2bw'
loop_
_atom_site_label
_atom_site_type_symbol
_atom_site_fract_x
_atom_site_fract_y
_atom_site_fract_z
Mg1 Mg 0.0000 0.0000 0.0000
Ge1 Ge 0.2154 0.2500 0.6250
Au1 Au 0.0000 0.0000 0.5000
# * density of states at the Fermi level: 0.551 states/eV/atom
# * spin magnetization: 0.00 μB/f.u.
# * total DFT energy (no corrections): -3.534 eV/atom
# * density: 7.445 Mg/m³
# * formation energy from the elements: -7.4 meV per atom


(6)
# MgGeAu14, relaxed, DFT GGA-PBE
data_MgGeAu14
_chemical_formula_sum 'Mg2 Ge2 Au28'
_cell_length_a 9.6281
_cell_length_b 6.2342
_cell_length_c 9.6682
_cell_angle_alpha 90.00
_cell_angle_beta 90.00
_cell_angle_gamma 90.00
_symmetry_space_group_name_H-M 'A m m 2'
_symmetry_Int_Tables_number 38
_symmetry_space_group_name_Hall 'A 2 -2'
loop_
_atom_site_label
_atom_site_type_symbol
_atom_site_fract_x
_atom_site_fract_y
_atom_site_fract_z
Mg1 Mg 0.0000 0.0000 0.0000
Ge1 Ge 0.0000 0.0000 0.4958
Au1 Au 0.0000 0.2471 0.7505
Au2 Au 0.2436 0.2482 0.4370
Au3 Au 0.2449 0.0000 0.1822
Au4 Au 0.2524 0.0000 0.6888
Au5 Au 0.5000 0.0000 0.0056
Au6 Au 0.5000 0.0000 0.5093
Au7 Au 0.5000 0.2445 0.2580
# * density of states at the Fermi level: 0.335 states/eV/atom
# * spin magnetization: 0.00 μB/f.u.
# * total DFT energy (no corrections): -3.310 eV/atom
# * density: 16.336 Mg/m³
# * formation energy from the elements: -54.5 meV per atom


(7)
# Mg4GeAu, relaxed, DFT GGA-PBE
data_Mg4GeAu
_chemical_formula_sum 'Mg4 Ge1 Au1'
_cell_length_a 4.5219
_cell_length_b 4.5219
_cell_length_c 6.5152
_cell_angle_alpha 90.00
_cell_angle_beta 90.00
_cell_angle_gamma 90.00
_symmetry_space_group_name_H-M 'P 4/m m m'
_symmetry_Int_Tables_number 123
_symmetry_space_group_name_Hall '-P 4 2'
loop_
_atom_site_label
_atom_site_type_symbol
_atom_site_fract_x
_atom_site_fract_y
_atom_site_fract_z
Mg1 Mg 0.0000 0.5000 0.2491
Ge1 Ge 0.0000 0.0000 0.5000
Au1 Au 0.5000 0.5000 0.0000
# * density of states at the Fermi level: 0.326 states/eV/atom
# * spin magnetization: 0.00 μB/f.u.
# * total DFT energy (no corrections): -2.721 eV/atom
# * density: 4.572 Mg/m³
# * formation energy from the elements: -342.0 meV per atom


(8)
# Mg3Ge5Au12, relaxed, DFT GGA-PBE
data_Mg3Ge5Au12
_chemical_formula_sum 'Mg24 Ge40 Au96'
_cell_length_a 15.3009
_cell_length_b 15.3009
_cell_length_c 15.3009
_cell_angle_alpha 90.00
_cell_angle_beta 90.00
_cell_angle_gamma 90.00
_symmetry_space_group_name_H-M 'I a -3 d'
_symmetry_Int_Tables_number 230
_symmetry_space_group_name_Hall '-I 4bd 2c 3'
loop_
_atom_site_label
_atom_site_type_symbol
_atom_site_fract_x
_atom_site_fract_y
_atom_site_fract_z
Mg1 Mg 0.0000 0.2500 0.1250
Ge1 Ge 0.0000 0.0000 0.0000
Ge2 Ge 0.0000 0.2500 0.3750
Au1 Au 0.0133 0.0725 0.6525
# * density of states at the Fermi level: 0.204 states/eV/atom
# * spin magnetization: 0.00 μB/f.u.
# * total DFT energy (no corrections): -3.408 eV/atom
# * density: 10.383 Mg/m³
# * formation energy from the elements: -47.7 meV per atom